(1)
The following is a DFT calculation (PBE) of CeCuPd after structural relaxation.

Properties
energy of formation from the pure elements: -132 kJ/mol of formula units
total magnetic moment: 0.86 μB/f.u.
calculated volume: 118.5 Å³/cell
offset from the most stable computed form: 0.00 eV/f.u.

Unit cell a=4.5237 b=5.5273 c=5.7008 alpha=74.70 beta=66.62 gamma=65.84
Fractional positions:
Ce 0.5362 0.2197 0.7080
Ce 0.4638 0.7803 0.2920
Cu 0.8438 0.2069 0.1055
Cu 0.1562 0.7931 0.8945
Pd 0.1776 0.3577 0.2872
Pd 0.8224 0.6423 0.7128

***

(2)
The following is a DFT calculation (PBE) of Ce2Cu5Pd5 after structural relaxation.

Properties
energy of formation from the pure elements: -508 kJ/mol of formula units
total magnetic moment: 1.32 μB/f.u.
calculated volume: 202.8 Å³/cell

Unit cell a=4.3925 b=5.0831 c=9.0845 alpha=90.00 beta=90.00 gamma=90.00
Fractional positions:
Ce 0.0000 0.5000 0.0000
Ce 0.0000 0.0000 0.5000
Cu 0.5000 0.5000 0.5000
Cu 0.5000 0.7493 0.2566
Cu 0.5000 0.2507 0.7434
Cu 0.5000 0.2507 0.2566
Cu 0.5000 0.7493 0.7434
Pd 0.0000 0.5000 0.3358
Pd 0.0000 0.0000 0.8218
Pd 0.0000 0.0000 0.1782
Pd 0.0000 0.5000 0.6642
Pd 0.5000 0.0000 0.0000